# 1
# Zn2CoOs

A relaxed Zn2CoOs crystal (PBEsol, the Alexandria database).

Results
**SG**: P4/mmm (123)
**Energy of formation from the pure elements**: 0.25 eV/atom

abc: 2.912 2.912 5.854
angles: 90.00 90.00 90.00
Atoms (fractional coordinates):
Zn (0.000, 0.000, 0.230)
Zn (0.000, 0.000, 0.770)
Co (0.500, 0.500, 0.000)
Os (0.500, 0.500, 0.500)



# 2
# Cu2SeBr

A relaxed Cu2SeBr crystal (PBEsol, the Alexandria database).

Results
**SG**: P4mm (99)
**Formation energy without anion corrections**: -0.64 eV per formula unit

abc: 3.703 3.708 5.972
angles: 90.00 89.99 90.00
Atoms (fractional coordinates):
Se (0.625, 0.000, 0.383)
Cu (0.125, 0.000, 0.137)
Br (0.126, 0.500, 0.843)
Cu (0.625, 0.500, 0.137)



# 3
# Na2Ca2H

A relaxed Na2Ca2H crystal (PBEsol, the Alexandria database).

Results
**SG**: I4/mmm (139)
**Electronic total energy**: -1.719 eV per atom

abc: 3.911 3.911 10.022
angles: 101.25 101.25 90.00
Atoms (fractional coordinates):
Ca (0.413, 0.413, 0.825)
Na (0.750, 0.250, 0.500)
Ca (0.587, 0.587, 0.175)
Na (0.250, 0.750, 0.500)
H (0.000, 0.000, 0.000)



# 4
# K2SrV3O9

A relaxed K2SrV3O9 crystal (PBEsol, the Alexandria database).

Results
**SG**: Pnma (62)
**Formation energy without anion corrections**: -37.58 eV per formula unit

abc: 5.378 10.152 16.034
angles: 90.00 90.00 90.00
Atoms (fractional coordinates):
O (0.496, 0.824, 0.180)
O (0.250, 0.228, 0.667)
V (0.750, 0.812, 0.957)
O (0.250, 0.590, 0.371)
K (0.250, 0.527, 0.932)
O (0.510, 0.640, 0.516)
K (0.750, 0.973, 0.432)
O (0.250, 0.419, 0.780)
V (0.250, 0.294, 0.405)
O (0.250, 0.090, 0.129)
V (0.750, 0.206, 0.905)
O (0.990, 0.140, 0.984)
K (0.250, 0.972, 0.289)
O (0.250, 0.636, 0.082)
V (0.750, 0.746, 0.230)
O (0.750, 0.864, 0.582)
K (0.250, 0.027, 0.568)
K (0.750, 0.028, 0.711)
O (0.750, 0.150, 0.561)
K (0.750, 0.528, 0.789)
O (0.004, 0.324, 0.320)
O (0.750, 0.081, 0.280)
O (0.250, 0.136, 0.418)
O (0.510, 0.140, 0.984)
K (0.250, 0.472, 0.211)
O (0.010, 0.360, 0.484)
V (0.250, 0.754, 0.730)
O (0.490, 0.860, 0.016)
O (0.250, 0.350, 0.061)
O (0.996, 0.176, 0.820)
O (0.490, 0.360, 0.484)
O (0.750, 0.772, 0.333)
Sr (0.750, 0.030, 0.115)
V (0.250, 0.794, 0.095)
V (0.250, 0.254, 0.770)
V (0.750, 0.246, 0.270)
O (0.990, 0.640, 0.516)
Sr (0.250, 0.470, 0.615)
O (0.750, 0.581, 0.220)
Sr (0.250, 0.970, 0.885)
V (0.250, 0.688, 0.457)
O (0.496, 0.324, 0.320)
O (0.250, 0.850, 0.439)
O (0.750, 0.910, 0.871)
K (0.750, 0.473, 0.068)
V (0.250, 0.188, 0.043)
O (0.750, 0.364, 0.918)
V (0.750, 0.706, 0.595)
Sr (0.750, 0.530, 0.385)
O (0.750, 0.650, 0.939)
O (0.004, 0.824, 0.180)
O (0.010, 0.860, 0.016)
O (0.504, 0.676, 0.680)
O (0.750, 0.272, 0.167)
V (0.750, 0.312, 0.543)
O (0.250, 0.919, 0.720)
O (0.250, 0.728, 0.833)
O (0.996, 0.676, 0.680)
O (0.504, 0.176, 0.820)
O (0.750, 0.410, 0.629)



# 5
# Li3PbO

A relaxed Li3PbO crystal (PBEsol, the Alexandria database).

Results
**SG**: Pm-3m (221)
**Formation energy without anion corrections**: -4.59 eV per formula unit

abc: 4.071 4.071 4.071
angles: 90.00 90.00 90.00
Atoms (fractional coordinates):
Pb (0.500, 0.500, 0.500)
Li (0.000, 0.500, 0.000)
Li (0.000, 0.000, 0.500)
Li (0.500, 0.000, 0.000)
O (0.000, 0.000, 0.000)



# 6
# DyMgAg

A relaxed DyMgAg crystal (PBEsol, the Alexandria database).

Results
**SG**: P-62m (189)
**Energy of formation from the pure elements**: -0.27 eV/atom

abc: 4.045 7.609 7.609
angles: 120.00 90.00 90.00
Atoms (fractional coordinates):
Dy (0.500, 0.000, 0.587)
Mg (0.000, 0.753, 0.753)
Dy (0.500, 0.587, 0.000)
Mg (0.000, 0.000, 0.247)
Dy (0.500, 0.413, 0.413)
Ag (0.000, 0.667, 0.333)
Ag (0.500, 0.000, 0.000)
Ag (0.000, 0.333, 0.667)
Mg (0.000, 0.247, 0.000)



Spin magnetization across the listed records, respectively: 1.260 0.001 0.000 1.017 0.000 0.000 μB per formula unit.